# TlPtF4 (PBE, relaxed)
# crystal system = monoclinic
# ΔE_f (raw) = -1.42 eV/atom
# VASP energy = -4.073 eV per atom
data_TlPtF4
_chemical_formula_sum 'Tl2 Pt2 F8'
_cell_length_a 6.8844
_cell_length_b 6.3577
_cell_length_c 5.6907
_cell_angle_alpha 90.00
_cell_angle_beta 104.18
_cell_angle_gamma 90.00
_symmetry_space_group_name_H-M 'P 1'
_symmetry_Int_Tables_number 1
loop_
_symmetry_equiv_pos_as_xyz
'x,y,z'
loop_
_atom_site_label
_atom_site_type_symbol
_atom_site_fract_x
_atom_site_fract_y
_atom_site_fract_z
Tl1 Tl 0.0000 0.0000 0.0000
Tl2 Tl 0.5000 0.5000 0.0000
Pt1 Pt 0.0000 0.5000 0.5000
Pt2 Pt 0.5000 0.0000 0.5000
F1 F 0.1498 0.2880 0.7187
F2 F 0.1498 0.7120 0.7187
F3 F 0.3502 0.2120 0.2813
F4 F 0.3502 0.7880 0.2813
F5 F 0.6498 0.2120 0.7187
F6 F 0.6498 0.7880 0.7187
F7 F 0.8502 0.2880 0.2813
F8 F 0.8502 0.7120 0.2813



# K2MoAs (PBE, relaxed)
# crystal system = monoclinic
# formation energy = 810 meV/atom
# VASP energy = -3.609 eV per atom
data_K2MoAs
_chemical_formula_sum 'K4 Mo2 As2'
_cell_length_a 5.4380
_cell_length_b 8.6924
_cell_length_c 5.0084
_cell_angle_alpha 90.00
_cell_angle_beta 90.14
_cell_angle_gamma 90.00
_symmetry_space_group_name_H-M 'P 1'
_symmetry_Int_Tables_number 1
loop_
_symmetry_equiv_pos_as_xyz
'x,y,z'
loop_
_atom_site_label
_atom_site_type_symbol
_atom_site_fract_x
_atom_site_fract_y
_atom_site_fract_z
K1 K 0.2500 0.2500 0.0000
K2 K 0.2500 0.7500 0.0000
K3 K 0.7500 0.2500 0.0000
K4 K 0.7500 0.7500 0.0000
Mo1 Mo 0.0000 0.0000 0.5000
Mo2 Mo 0.5000 0.5000 0.5000
As1 As 0.0000 0.5000 0.5000
As2 As 0.5000 0.0000 0.5000



# Al2PF (PBE, relaxed)
# crystal system = cubic
# ΔE_f (raw) = -0.69 eV/atom
# VASP energy = -4.386 eV per atom
# distance to the lowest polymorph of the same formula = 60.4 meV/atom
data_Al2PF
_chemical_formula_sum 'Al8 P4 F4'
_cell_length_a 6.0939
_cell_length_b 6.0939
_cell_length_c 6.0939
_cell_angle_alpha 90.00
_cell_angle_beta 90.00
_cell_angle_gamma 90.00
_symmetry_space_group_name_H-M 'P 1'
_symmetry_Int_Tables_number 1
loop_
_symmetry_equiv_pos_as_xyz
'x,y,z'
loop_
_atom_site_label
_atom_site_type_symbol
_atom_site_fract_x
_atom_site_fract_y
_atom_site_fract_z
Al1 Al 0.2500 0.2500 0.2500
Al2 Al 0.2500 0.2500 0.7500
Al3 Al 0.2500 0.7500 0.2500
Al4 Al 0.2500 0.7500 0.7500
Al5 Al 0.7500 0.2500 0.2500
Al6 Al 0.7500 0.2500 0.7500
Al7 Al 0.7500 0.7500 0.2500
Al8 Al 0.7500 0.7500 0.7500
P1 P 0.0000 0.0000 0.0000
P2 P 0.0000 0.5000 0.5000
P3 P 0.5000 0.0000 0.5000
P4 P 0.5000 0.5000 0.0000
F1 F 0.0000 0.0000 0.5000
F2 F 0.0000 0.5000 0.0000
F3 F 0.5000 0.0000 0.0000
F4 F 0.5000 0.5000 0.5000



# ScInAs3 (PBE, relaxed)
# crystal system = cubic
# formation energy = 96 meV/atom
# VASP energy = -4.508 eV per atom
# distance to the lowest polymorph of the same formula = 0.0 meV/atom
data_ScInAs3
_chemical_formula_sum 'Sc1 In1 As3'
_cell_length_a 5.1316
_cell_length_b 5.1316
_cell_length_c 5.1316
_cell_angle_alpha 90.00
_cell_angle_beta 90.00
_cell_angle_gamma 90.00
_symmetry_space_group_name_H-M 'P 1'
_symmetry_Int_Tables_number 1
loop_
_symmetry_equiv_pos_as_xyz
'x,y,z'
loop_
_atom_site_label
_atom_site_type_symbol
_atom_site_fract_x
_atom_site_fract_y
_atom_site_fract_z
Sc1 Sc 0.0000 0.0000 0.0000
In1 In 0.5000 0.5000 0.5000
As1 As 0.0000 0.0000 0.5000
As2 As 0.0000 0.5000 0.0000
As3 As 0.5000 0.0000 0.0000



# Tm12NiPd6 (PBE, relaxed)
# crystal system = trigonal
# formation energy = -539 meV/atom
# VASP energy = -5.308 eV per atom
data_Tm12NiPd6
_chemical_formula_sum 'Tm12 Ni1 Pd6'
_cell_length_a 8.0851
_cell_length_b 8.0851
_cell_length_c 8.0851
_cell_angle_alpha 99.37
_cell_angle_beta 99.37
_cell_angle_gamma 99.37
_symmetry_space_group_name_H-M 'P 1'
_symmetry_Int_Tables_number 1
loop_
_symmetry_equiv_pos_as_xyz
'x,y,z'
loop_
_atom_site_label
_atom_site_type_symbol
_atom_site_fract_x
_atom_site_fract_y
_atom_site_fract_z
Tm1 Tm 0.0379 0.9226 0.6826
Tm2 Tm 0.0774 0.3174 0.9621
Tm3 Tm 0.1809 0.5720 0.4170
Tm4 Tm 0.3174 0.9621 0.0774
Tm5 Tm 0.4170 0.1809 0.5720
Tm6 Tm 0.4280 0.5830 0.8191
Tm7 Tm 0.5720 0.4170 0.1809
Tm8 Tm 0.5830 0.8191 0.4280
Tm9 Tm 0.6826 0.0379 0.9226
Tm10 Tm 0.8191 0.4280 0.5830
Tm11 Tm 0.9226 0.6826 0.0379
Tm12 Tm 0.9621 0.0774 0.3174
Ni1 Ni 0.0000 0.0000 0.0000
Pd1 Pd 0.1311 0.3116 0.6244
Pd2 Pd 0.3116 0.6244 0.1311
Pd3 Pd 0.3756 0.8689 0.6884
Pd4 Pd 0.6244 0.1311 0.3116
Pd5 Pd 0.6884 0.3756 0.8689
Pd6 Pd 0.8689 0.6884 0.3756



# Be4V2Os (PBE, relaxed)
# crystal system = tetragonal
# formation energy = 680 meV/atom
# VASP energy = -5.658 eV per atom
data_Be4V2Os
_chemical_formula_sum 'Be8 V4 Os2'
_cell_length_a 4.0423
_cell_length_b 4.0423
_cell_length_c 11.8337
_cell_angle_alpha 90.00
_cell_angle_beta 90.00
_cell_angle_gamma 90.00
_symmetry_space_group_name_H-M 'P 1'
_symmetry_Int_Tables_number 1
loop_
_symmetry_equiv_pos_as_xyz
'x,y,z'
loop_
_atom_site_label
_atom_site_type_symbol
_atom_site_fract_x
_atom_site_fract_y
_atom_site_fract_z
Be1 Be 0.0000 0.0000 0.1848
Be2 Be 0.0000 0.0000 0.8152
Be3 Be 0.0000 0.5000 0.0000
Be4 Be 0.0000 0.5000 0.5000
Be5 Be 0.5000 0.0000 0.0000
Be6 Be 0.5000 0.0000 0.5000
Be7 Be 0.5000 0.5000 0.3152
Be8 Be 0.5000 0.5000 0.6848
V1 V 0.0000 0.0000 0.3874
V2 V 0.0000 0.0000 0.6126
V3 V 0.5000 0.5000 0.1126
V4 V 0.5000 0.5000 0.8874
Os1 Os 0.0000 0.0000 0.0000
Os2 Os 0.5000 0.5000 0.5000



# Na2AlAs2O6 (PBE, relaxed)
# crystal system = monoclinic
# ΔE_f (raw) = -1.67 eV/atom
# VASP energy = -5.805 eV per atom
data_Na2AlAs2O6
_chemical_formula_sum 'Na2 Al1 As2 O6'
_cell_length_a 5.0875
_cell_length_b 5.0875
_cell_length_c 6.3024
_cell_angle_alpha 109.65
_cell_angle_beta 109.65
_cell_angle_gamma 66.11
_symmetry_space_group_name_H-M 'P 1'
_symmetry_Int_Tables_number 1
loop_
_symmetry_equiv_pos_as_xyz
'x,y,z'
loop_
_atom_site_label
_atom_site_type_symbol
_atom_site_fract_x
_atom_site_fract_y
_atom_site_fract_z
Na1 Na 0.1948 0.1948 0.1305
Na2 Na 0.8052 0.8052 0.8695
Al1 Al 0.0000 0.0000 0.5000
As1 As 0.4262 0.4262 0.7602
As2 As 0.5738 0.5738 0.2398
O1 O 0.1961 0.7048 0.2551
O2 O 0.2294 0.2294 0.5231
O3 O 0.2952 0.8039 0.7449
O4 O 0.7048 0.1961 0.2551
O5 O 0.7706 0.7706 0.4769
O6 O 0.8039 0.2952 0.7449



# HfZrScPa (PBE, relaxed)
# crystal system = cubic
# formation energy = 173 meV/atom
# VASP energy = -8.409 eV per atom
# distance to the lowest polymorph of the same formula = 150.0 meV/atom
data_HfZrScPa
_chemical_formula_sum 'Hf4 Zr4 Sc4 Pa4'
_cell_length_a 7.2045
_cell_length_b 7.2045
_cell_length_c 7.2045
_cell_angle_alpha 90.00
_cell_angle_beta 90.00
_cell_angle_gamma 90.00
_symmetry_space_group_name_H-M 'P 1'
_symmetry_Int_Tables_number 1
loop_
_symmetry_equiv_pos_as_xyz
'x,y,z'
loop_
_atom_site_label
_atom_site_type_symbol
_atom_site_fract_x
_atom_site_fract_y
_atom_site_fract_z
Hf1 Hf 0.0000 0.0000 0.0000
Hf2 Hf 0.0000 0.5000 0.5000
Hf3 Hf 0.5000 0.0000 0.5000
Hf4 Hf 0.5000 0.5000 0.0000
Zr1 Zr 0.0000 0.0000 0.5000
Zr2 Zr 0.0000 0.5000 0.0000
Zr3 Zr 0.5000 0.0000 0.0000
Zr4 Zr 0.5000 0.5000 0.5000
Sc1 Sc 0.2500 0.2500 0.7500
Sc2 Sc 0.2500 0.7500 0.2500
Sc3 Sc 0.7500 0.2500 0.2500
Sc4 Sc 0.7500 0.7500 0.7500
Pa1 Pa 0.2500 0.2500 0.2500
Pa2 Pa 0.2500 0.7500 0.7500
Pa3 Pa 0.7500 0.2500 0.7500
Pa4 Pa 0.7500 0.7500 0.2500